[1]
Here is crystalline Ba2MnGa2 at its relaxed geometry from the Alexandria database. Energies are from PBE-GGA.

## Properties
The calculation puts the formation energy at 0.14 eV per atom. The energy above the lowest structure with this stoichiometry comes out at 0.00 eV per formula unit. The space group is I4/mmm.

Lattice parameters (Å, degrees): 6.036 6.036 6.036 113.52 113.52 101.65
Atoms (fractional coordinates):
Ba  0.250  0.750  0.500
Ba  0.750  0.250  0.500
Mn  0.000  0.000  0.000
Ga  0.341  0.341  0.000
Ga  0.659  0.659  0.000

---

[2]
Here is crystalline PmTmZr at its relaxed geometry from the Alexandria database. Energies are from PBE-GGA.

## Properties
The calculation puts the formation energy at 0.12 eV per atom. The energy above the lowest structure with this stoichiometry comes out at 0.17 eV per formula unit. The space group is P2_1/m.

Lattice parameters (Å, degrees): 3.380 4.851 10.542 90.00 98.77 90.00
Atoms (fractional coordinates):
Pm  0.061  0.250  0.100
Pm  0.939  0.750  0.900
Tm  0.358  0.250  0.729
Tm  0.642  0.750  0.271
Zr  0.216  0.250  0.427
Zr  0.784  0.750  0.573

---

[3]
Here is crystalline Li3Ti2WN6 at its relaxed geometry from the Alexandria database. Energies are from PBE-GGA.

## Properties
For the total energy, the calculation gives -7.91 eV/atom. The space group is C2/m.

Lattice parameters (Å, degrees): 5.216 5.216 5.284 99.44 99.44 119.99
Atoms (fractional coordinates):
Li  0.000  0.000  0.000
Li  0.330  0.670  0.000
Li  0.670  0.330  0.000
Ti  0.167  0.833  0.500
Ti  0.833  0.167  0.500
W  0.500  0.500  0.500
N  0.098  0.427  0.280
N  0.244  0.244  0.720
N  0.427  0.098  0.280
N  0.573  0.902  0.720
N  0.756  0.756  0.280
N  0.902  0.573  0.720

---

[4]
Here is crystalline Hf2ScSbH at its relaxed geometry from the Alexandria database. Energies are from PBE-GGA.

## Properties
For the total energy, the calculation gives -7.15 eV/atom. The space group is P4/mmm.

Lattice parameters (Å, degrees): 4.322 4.322 4.657 90.00 90.00 90.00
Atoms (fractional coordinates):
Hf  0.000  0.500  0.000
Hf  0.500  0.000  0.000
Sc  0.000  0.000  0.500
Sb  0.500  0.500  0.500
H  0.000  0.000  0.000

---

Number 3 is which compound?
Li3Ti2WN6